[1]
## CdMo2W (PBE)

Data for a geometry-optimized CdMo2W structure.

Cell lengths 2.7258, 4.5652, 5.5440 Å; angles 90.00, 101.83, 90.00 degrees
Closest atoms and distances in Å follow each position.
Element x y z (fractional)
Cd 0.0000 0.0000 0.0000  2 Cd 2.73, 4 Mo 2.82-2.87, 2 W 2.89
Mo 0.4999 0.0000 0.4990  4 Mo 2.73-2.78, 2 W 2.77, 2 Cd 2.82-2.83
Mo 0.7390 0.5000 0.2622  2 W 2.67-2.99, 4 Mo 2.73-2.78, 2 Cd 2.87
W 0.2489 0.5000 0.7288  4 Mo 2.67-2.99, 2 W 2.73, 2 Cd 2.89

Computed properties:
* calculated volume: 16.88 Å³ per atom
* theoretical density: 12.0 g/cm³
* formation energy: 0.384 eV/atom
* crystal system: monoclinic
* E: -8.4985 eV per atom

[2]
## CdMo2W (PBE)

Data for a geometry-optimized CdMo2W structure.

Cell lengths 5.9075, 5.9075, 5.9075 Å; angles 102.64, 102.64, 124.23 degrees
Closest atoms and distances in Å follow each position.
Element x y z (fractional)
Cd 0.0000 0.0000 0.0000  2 W 2.76, 4 Mo 2.91
Cd 0.7500 0.2500 0.5000  2 W 2.76, 4 Mo 2.91
Mo 0.1641 0.6250 0.0391  2 W 2.51
Mo 0.3750 0.4141 0.5391  2 W 2.51
Mo 0.5859 0.1250 0.9609  2 W 2.51
Mo 0.8750 0.8359 0.4609  2 W 2.51
W 0.2500 0.7500 0.5000  4 Mo 2.51, 2 Cd 2.76
W 0.5000 0.5000 0.0000  4 Mo 2.51, 2 Cd 2.76

Computed properties:
* calculated volume: 18.83 Å³ per atom
* theoretical density: 10.8 g/cm³
* formation energy: 1.013 eV/atom
* crystal system: tetragonal
* E: -7.8694 eV per atom